# 1
# BaSr2Ag

A geometry-optimized BaSr2Ag structure (PBE, the Alexandria database). Values from VASP.

Calculated values
- DFT formation energy (eV/atom) = -0.106
- symmetry = Immm (71)
- N(E_F) (states/eV/f.u.) = 4.299
- E above lowest polymorph (kJ per mole of atoms) = 4.8

```
&SYSTEM
  ibrav = 0, nat = 4, ntyp = 3
/
ATOMIC_SPECIES
Ba 137.33 Ba.upf
Sr 87.62 Sr.upf
Ag 107.87 Ag.upf
ATOMIC_POSITIONS angstrom
Ba 0.000 0.000 0.000
Sr 2.072 0.000 4.127
Sr 0.000 3.227 2.562
Ag 0.000 0.000 6.689
CELL_PARAMETERS angstrom
-2.072 3.227 6.689
2.072 -3.227 6.689
2.072 3.227 -6.689
```

# 2
# Tb4Dy2Ho2Er

A geometry-optimized Tb4Dy2Ho2Er structure (PBE, the Alexandria database). Values from VASP.

Calculated values
- DFT formation energy (eV/atom) = 0.004
- symmetry = C2/m (12)
- N(E_F) (states/eV/f.u.) = 11.662

```
&SYSTEM
  ibrav = 0, nat = 9, ntyp = 4
/
ATOMIC_SPECIES
Tb 158.93 Tb.upf
Dy 162.50 Dy.upf
Ho 164.93 Ho.upf
Er 167.26 Er.upf
ATOMIC_POSITIONS angstrom
Tb -1.030 0.000 2.842
Tb 3.089 0.000 5.697
Tb 11.324 0.000 2.840
Tb 15.444 0.000 5.695
Dy 5.146 0.000 2.841
Dy 9.267 0.000 5.696
Ho -1.026 0.000 8.533
Ho 15.439 0.000 0.004
Er 9.264 0.000 0.000
CELL_PARAMETERS angstrom
9.264 -1.783 0.000
9.264 1.783 0.000
-4.114 0.000 8.537
```

# 3
# CuReSi2

A geometry-optimized CuReSi2 structure (PBE, the Alexandria database). Values from VASP.

Calculated values
- symmetry = P4mm (99)
- N(E_F) (states/eV/f.u.) = 0.618
- E above lowest polymorph (kJ per mole of atoms) = 0.0
- raw formation energy (meV per atom) = -140

```
&SYSTEM
  ibrav = 0, nat = 4, ntyp = 3
/
ATOMIC_SPECIES
Cu 63.55 Cu.upf
Re 186.21 Re.upf
Si 28.09 Si.upf
ATOMIC_POSITIONS angstrom
Cu 0.000 0.000 0.000
Re 1.630 1.630 1.604
Si 0.000 0.000 2.607
Si 1.630 1.630 4.070
CELL_PARAMETERS angstrom
3.259 0.000 0.000
0.000 3.259 0.000
0.000 0.000 5.001
```

# 4
# CsCuO

A geometry-optimized CsCuO structure (PBE, the Alexandria database). Values from VASP.

Calculated values
- symmetry = Pc (7)
- raw formation energy (meV per atom) = -832

```
&SYSTEM
  ibrav = 0, nat = 6, ntyp = 3
/
ATOMIC_SPECIES
Cs 132.91 Cs.upf
Cu 63.55 Cu.upf
O 16.00 O.upf
ATOMIC_POSITIONS angstrom
Cs 0.000 0.002 0.000
Cs -3.190 3.621 3.192
Cu 0.002 1.804 3.192
Cu 3.193 1.819 0.000
O -3.195 0.008 6.376
O -0.004 3.615 3.184
CELL_PARAMETERS angstrom
6.380 0.000 0.000
0.000 3.623 0.000
-6.381 0.000 6.384
```

# 5
# Tl5GeAu3

A geometry-optimized Tl5GeAu3 structure (PBE, the Alexandria database). Values from VASP.

Calculated values
- DFT formation energy (eV/atom) = 0.054
- symmetry = C2/m (12)
- N(E_F) (states/eV/f.u.) = 3.872

```
&SYSTEM
  ibrav = 0, nat = 18, ntyp = 3
/
ATOMIC_SPECIES
Tl 204.38 Tl.upf
Ge 72.64 Ge.upf
Au 196.97 Au.upf
ATOMIC_POSITIONS angstrom
Tl -1.360 0.000 2.783
Tl 3.230 2.371 2.151
Tl 7.246 2.837 0.000
Tl 1.593 0.000 4.797
Tl 6.224 2.371 5.568
Tl 3.230 -2.371 2.151
Tl 7.861 0.000 2.921
Tl 7.246 -2.837 0.000
Tl 6.224 -2.371 5.568
Tl 10.814 0.000 4.935
Ge 5.041 0.000 1.300
Ge 4.413 0.000 6.419
Au 1.398 0.000 1.923
Au -1.946 0.000 7.354
Au 7.246 0.000 0.000
Au 4.727 0.000 3.859
Au 11.400 0.000 0.364
Au 8.056 0.000 5.796
CELL_PARAMETERS angstrom
7.246 -4.593 0.000
7.246 4.593 0.000
-5.038 0.000 7.718
```

# 6
# YCd4Pb

A geometry-optimized YCd4Pb structure (PBE, the Alexandria database). Values from VASP.

Calculated values
- DFT formation energy (eV/atom) = -0.208
- symmetry = P2_1/m (11)
- N(E_F) (states/eV/f.u.) = 1.787
- E above lowest polymorph (kJ per mole of atoms) = 0.0

```
&SYSTEM
  ibrav = 0, nat = 12, ntyp = 3
/
ATOMIC_SPECIES
Y 88.91 Y.upf
Cd 112.41 Cd.upf
Pb 207.20 Pb.upf
ATOMIC_POSITIONS angstrom
Y 0.018 1.273 2.190
Y 3.321 3.820 6.737
Cd -1.620 1.273 5.182
Cd -1.660 1.273 8.160
Cd 1.550 3.820 0.766
Cd 1.634 3.820 3.740
Cd 1.706 1.273 5.187
Cd 1.789 1.273 8.161
Cd 4.999 3.820 0.768
Cd 4.959 3.820 3.746
Pb 0.048 3.820 6.796
Pb 3.291 1.273 2.132
CELL_PARAMETERS angstrom
6.537 0.000 0.000
0.000 5.094 0.000
-3.197 0.000 8.928
```

# 7
# Rb2HgP2S6

A geometry-optimized Rb2HgP2S6 structure (PBE, the Alexandria database). Values from VASP.

Calculated values
- symmetry = R-3m (166)
- raw formation energy (meV per atom) = -548

```
&SYSTEM
  ibrav = 0, nat = 11, ntyp = 4
/
ATOMIC_SPECIES
Rb 85.47 Rb.upf
Hg 200.59 Hg.upf
P 30.97 P.upf
S 32.06 S.upf
ATOMIC_POSITIONS angstrom
Rb 0.000 0.000 6.664
Rb 0.000 0.000 23.893
Hg 0.000 0.000 0.000
P 0.000 0.000 13.345
P 0.000 0.000 17.212
S -1.696 -0.979 17.242
S 0.000 -1.959 13.314
S -1.696 0.979 13.314
S 1.696 -0.979 17.243
S 0.000 1.959 17.243
S 1.696 0.979 13.314
CELL_PARAMETERS angstrom
3.549 2.049 10.185
-3.549 2.049 10.185
0.000 -4.098 10.185
```

# 8
# NaNp3Ag2S8

A geometry-optimized NaNp3Ag2S8 structure (PBE, the Alexandria database). Values from VASP.

Calculated values
- symmetry = R3m (160)
- N(E_F) (states/eV/f.u.) = 24.467
- raw formation energy (meV per atom) = -959

```
&SYSTEM
  ibrav = 0, nat = 14, ntyp = 4
/
ATOMIC_SPECIES
Na 22.99 Na.upf
Np 237.00 Np.upf
Ag 107.87 Ag.upf
S 32.06 S.upf
ATOMIC_POSITIONS angstrom
Na 0.000 0.000 0.000
Np -2.045 -1.181 8.075
Np 2.045 -1.181 8.075
Np 0.000 2.362 8.075
Ag 0.000 0.000 4.141
Ag 0.000 0.000 10.863
S 0.000 -2.269 9.392
S -1.965 1.135 9.392
S 0.000 0.000 6.708
S -1.791 -1.034 12.789
S 1.965 1.135 9.392
S 1.791 -1.034 12.789
S 0.000 2.068 12.789
S 0.000 0.000 15.568
CELL_PARAMETERS angstrom
4.070 2.350 6.124
-4.070 2.350 6.124
0.000 -4.700 6.124
```

# 9
# ErGaCo

A geometry-optimized ErGaCo structure (PBE, the Alexandria database). Values from VASP.

Calculated values
- DFT formation energy (eV/atom) = 0.627
- symmetry = I4mm (107)
- N(E_F) (states/eV/f.u.) = 2.672

```
&SYSTEM
  ibrav = 0, nat = 3, ntyp = 3
/
ATOMIC_SPECIES
Er 167.26 Er.upf
Ga 69.72 Ga.upf
Co 58.93 Co.upf
ATOMIC_POSITIONS angstrom
Er 0.000 0.000 0.000
Ga 0.000 0.000 9.167
Co 0.000 0.000 11.498
CELL_PARAMETERS angstrom
-1.486 1.486 6.993
1.486 -1.486 6.993
1.486 1.486 -6.993
```

# 10
# ReTe2SN

A geometry-optimized ReTe2SN structure (PBE, the Alexandria database). Values from VASP.

Calculated values
- symmetry = P4/mmm (123)
- N(E_F) (states/eV/f.u.) = 3.511
- E above lowest polymorph (kJ per mole of atoms) = 51.9
- raw formation energy (meV per atom) = 1043

```
&SYSTEM
  ibrav = 0, nat = 5, ntyp = 4
/
ATOMIC_SPECIES
Re 186.21 Re.upf
Te 127.60 Te.upf
S 32.06 S.upf
N 14.01 N.upf
ATOMIC_POSITIONS angstrom
Re 0.000 0.000 0.000
Te 0.000 2.589 1.887
Te 2.589 0.000 1.887
S 2.589 2.589 0.000
N 0.000 0.000 1.887
CELL_PARAMETERS angstrom
5.179 0.000 0.000
0.000 5.179 0.000
0.000 0.000 3.774
```

# 11
# TbPm6YTm2

A geometry-optimized TbPm6YTm2 structure (PBE, the Alexandria database). Values from VASP.

Calculated values
- DFT formation energy (eV/atom) = 0.115
- symmetry = C2/c (15)
- N(E_F) (states/eV/f.u.) = 14.516

```
&SYSTEM
  ibrav = 0, nat = 20, ntyp = 4
/
ATOMIC_SPECIES
Tb 158.93 Tb.upf
Pm 145.00 Pm.upf
Y 88.91 Y.upf
Tm 168.93 Tm.upf
ATOMIC_POSITIONS angstrom
Tb 3.678 6.257 7.157
Tb 4.292 -6.257 2.386
Pm 3.211 5.984 3.634
Pm 2.426 3.433 1.770
Pm 5.374 5.984 1.138
Pm 3.356 2.729 5.284
Pm 4.000 2.729 9.030
Pm 6.159 3.433 3.001
Pm 1.812 -3.433 6.542
Pm 3.971 -2.729 0.513
Pm 4.614 -2.729 4.259
Pm 2.596 -5.984 8.405
Pm 5.544 -3.433 7.772
Pm 4.760 -5.984 5.909
Y 4.292 0.417 2.386
Y 3.678 -0.417 7.157
Tm 1.128 0.770 9.108
Tm 1.742 -0.770 4.337
Tm 6.228 0.770 5.206
Tm 6.843 -0.770 0.435
CELL_PARAMETERS angstrom
4.600 -7.631 0.000
4.600 7.631 0.000
-1.229 0.000 9.543
```

# 12
# NbInRhAu

A geometry-optimized NbInRhAu structure (PBE, the Alexandria database). Values from VASP.

Calculated values
- DFT formation energy (eV/atom) = -0.150
- symmetry = F-43m (216)
- N(E_F) (states/eV/f.u.) = 3.353

```
&SYSTEM
  ibrav = 0, nat = 4, ntyp = 4
/
ATOMIC_SPECIES
Nb 92.91 Nb.upf
In 114.82 In.upf
Rh 102.91 Rh.upf
Au 196.97 Au.upf
ATOMIC_POSITIONS angstrom
Nb 0.000 0.000 0.000
In 3.289 3.289 3.289
Rh 1.645 1.645 1.645
Au 4.934 4.934 4.934
CELL_PARAMETERS angstrom
0.000 3.289 3.289
3.289 0.000 3.289
3.289 3.289 0.000
```

Number 1: M_tot 0.000 μB/atom. Number 2: M_tot 0.000 μB/atom. Number 3: M_tot 0.000 μB/atom. Number 4: M_tot 0.000 μB/atom. Number 5: M_tot 0.000 μB/atom. Number 6: M_tot 0.000 μB/atom. Number 7: M_tot 0.000 μB/atom. Number 8: M_tot 0.571 μB/atom. Number 9: M_tot 0.368 μB/atom. Number 10: M_tot 0.071 μB/atom. Number 11: M_tot 0.000 μB/atom. Number 12: M_tot 0.000 μB/atom.